Compound: LiPuVF6
Source: Alexandria
Functional: PBE with a Hubbard U
Structure: optimized geometry

Cell lengths 5.3137, 5.3137, 10.3191 Å; angles 90.00, 90.00, 120.00 degrees
Closest atoms and distances in Å follow each position.
Sites, in units of the cell vectors:
1 Li 0.3333 0.6667 0.2500  6 F 2.07
2 Li 0.6667 0.3333 0.7500  6 F 2.07
3 Pu 0.0000 0.0000 0.0000  6 F 2.33
4 Pu 0.0000 0.0000 0.5000  6 F 2.33
5 V 0.3333 0.6667 0.7500  6 F 2.10
6 V 0.6667 0.3333 0.2500  6 F 2.10
7 F 0.0043 0.3486 0.1376  1 Li 2.07, 1 V 2.10
8 F 0.0043 0.6557 0.3624  1 Li 2.07, 1 V 2.10
9 F 0.3443 0.3486 0.3624  1 Li 2.07, 1 V 2.10
10 F 0.3443 0.9957 0.1376  1 Li 2.07, 1 V 2.10
11 F 0.3486 0.0043 0.6376  1 Li 2.07, 1 V 2.10
12 F 0.3486 0.3443 0.8624  1 Li 2.07, 1 V 2.10
13 F 0.6514 0.6557 0.1376  1 Li 2.07, 1 V 2.10
14 F 0.6514 0.9957 0.3624  1 Li 2.07, 1 V 2.10
15 F 0.6557 0.0043 0.8624  1 Li 2.07, 1 V 2.10
16 F 0.6557 0.6514 0.6376  1 Li 2.07, 1 V 2.10
17 F 0.9957 0.3443 0.6376  1 Li 2.07, 1 V 2.10
18 F 0.9957 0.6514 0.8624  1 Li 2.07, 1 V 2.10

Results
- Space-group type: P-31c (163)
- Total DFT energy (no corrections): -0.258 hartree per atom